# 1
This record from the Alexandria database describes crystalline Nd4TlPbC at its relaxed geometry. The functional is PBE.

As for the crystal system: orthorhombic. Its energy is -5.24 eV per atom. The value obtained for the formation energy is -328 meV/atom. The calculation puts the total moment at 0.0 μB per formula unit.

The space group is Cmcm (No. 63) and the conventional cell measures 7.1716, 16.3317 and 7.1707 Å, with angles of 90.00, 90.00 and 90.00 degrees. The asymmetric unit holds Nd at (0.0000, 0.0872, 0.2500), Nd at (0.0000, 0.4116, 0.2500), Nd at (0.2500, 0.2500, 0.0000), Tl at (0.0000, 0.1136, 0.7500), Pb at (0.0000, 0.3881, 0.7500) and C at (0.0000, 0.2486, 0.2500).

---

# 2
This record from the Alexandria database describes crystalline Li4Cu4Ag at its relaxed geometry. The functional is PBE.

As for the crystal system: tetragonal. Its energy is -3.06 eV per atom. The value obtained for the formation energy is -71 meV/atom. The calculation puts the total moment at 0.0 μB per formula unit.

The space group is I4/mmm (No. 139) and the conventional cell measures 7.9209, 7.9209 and 3.8926 Å, with angles of 90.00, 90.00 and 90.00 degrees. The asymmetric unit holds Li at (0.1710, 0.1710, 0.0000), Cu at (0.0000, 0.3458, 0.5000) and Ag at (0.0000, 0.0000, 0.5000).

---

# 3
This record from the Alexandria database describes crystalline BC2 at its relaxed geometry. The functional is PBE.

As for the crystal system: triclinic. For the energy above the most stable polymorph in this dataset, the calculation gives 0.125 eV/atom. Its energy is -8.01 eV per atom. The value obtained for the formation energy is 365 meV/atom. The calculation puts the total moment at 0.0 μB per formula unit.

The space group is P-1 (No. 2) and the conventional cell measures 4.2633, 4.4436 and 4.6503 Å, with angles of 81.75, 73.25 and 62.47 degrees. The asymmetric unit holds B at (0.1179, 0.2962, 0.1015), B at (0.2164, 0.9382, 0.9025), C at (0.0087, 0.3334, 0.4534), C at (0.3210, 0.9888, 0.5521), C at (0.3658, 0.6622, 0.4228) and C at (0.4892, 0.3560, 0.9263).